--- a ---
NbCoHgI PBE optimized geometry; space group = No. 1
1.0
3.271 0.002 0.003
-0.065 3.347 0.002
-1.612 -0.184 8.385
I Nb Co Hg
1 1 1 1
direct
0.728 0.420 0.432
0.351 0.447 0.705
0.969 0.949 0.843
0.554 0.465 0.048

---

--- b ---
NbCoHgI PBE optimized geometry; space group = No. 156
1.0
3.611 0.000 0.000
-1.806 3.128 0.000
0.000 0.000 8.270
I Nb Co Hg
1 1 1 1
direct
0.333 0.667 0.437
0.667 0.333 0.691
0.000 0.000 0.839
0.667 0.333 0.062

---

Question: of the structures shown, which is the most stable? Reply: b.